(1)
# Na2TiHgMo

Crystalline Na2TiHgMo at its relaxed geometry (PBE, Alexandria).

Calculated values
Its density of states at the Fermi level is 3.39 states/eV/cell. The value obtained for the energy is -16.1 eV per formula unit. The calculation puts the energy relative to the elements at 1.122 eV per atom.

a = 5.727 Å, b = 5.727 Å, c = 4.465 Å
α = 90.00°, β = 90.00°, γ = 90.00°
Element x y z (fractional)
Na 0.000 0.500 0.000
Na 0.500 0.000 0.000
Ti 0.000 0.000 0.000
Hg 0.500 0.500 0.500
Mo 0.000 0.000 0.500


(2)
# Zn2CuAu2

Crystalline Zn2CuAu2 at its relaxed geometry (PBE, Alexandria).

Calculated values
Its density of states at the Fermi level is 1.61 states/eV/cell. The value obtained for the energy is -13.8 eV per formula unit. The relative energy among the computed polymorphs is 26 meV per atom. The calculation puts the energy relative to the elements at -0.113 eV per atom.

a = 7.152 Å, b = 7.152 Å, c = 7.152 Å
α = 136.86°, β = 61.14°, γ = 138.86°
Element x y z (fractional)
Zn 0.172 0.152 0.324
Zn 0.328 0.652 0.980
Zn 0.672 0.348 0.020
Zn 0.828 0.848 0.676
Cu 0.250 0.250 0.000
Cu 0.750 0.750 0.000
Au 0.114 0.640 0.754
Au 0.386 0.140 0.526
Au 0.614 0.860 0.474
Au 0.886 0.360 0.246


(3)
# Cr2CuMo

Crystalline Cr2CuMo at its relaxed geometry (PBE, Alexandria).

Calculated values
Its density of states at the Fermi level is 4.08 states/eV/cell. The value obtained for the energy is -32.5 eV per formula unit. The relative energy among the computed polymorphs is 229 meV per atom. The calculation puts the energy relative to the elements at 0.423 eV per atom.

a = 8.941 Å, b = 8.941 Å, c = 8.941 Å
α = 16.94°, β = 16.94°, γ = 16.94°
Element x y z (fractional)
Cr 0.000 0.000 0.000
Cr 0.257 0.257 0.257
Cu 0.748 0.748 0.748
Mo 0.503 0.503 0.503


(4)
# TiTl2Ni

Crystalline TiTl2Ni at its relaxed geometry (PBE, Alexandria).

Calculated values
Its density of states at the Fermi level is 5.75 states/eV/cell. The value obtained for the energy is -16.8 eV per formula unit. The relative energy among the computed polymorphs is 94 meV per atom. The calculation puts the energy relative to the elements at 0.414 eV per atom.

a = 6.053 Å, b = 6.053 Å, c = 6.053 Å
α = 103.75°, β = 103.75°, γ = 121.65°
Element x y z (fractional)
Ti 0.000 0.000 0.000
Ti 0.750 0.250 0.500
Tl 0.155 0.625 0.030
Tl 0.375 0.405 0.530
Tl 0.595 0.125 0.970
Tl 0.875 0.845 0.470
Ni 0.250 0.750 0.500
Ni 0.500 0.500 0.000


(5)
# Cs2Cd5Sn3

Crystalline Cs2Cd5Sn3 at its relaxed geometry (PBE, Alexandria).

Calculated values
Its density of states at the Fermi level is 9.88 states/eV/cell. The value obtained for the energy is -19.4 eV per formula unit. The calculation puts the energy relative to the elements at -0.109 eV per atom.

a = 10.169 Å, b = 10.169 Å, c = 10.169 Å
α = 102.53°, β = 91.75°, γ = 138.82°
Element x y z (fractional)
Cs 0.124 0.245 0.369
Cs 0.376 0.745 0.120
Cs 0.624 0.255 0.880
Cs 0.876 0.755 0.631
Cd 0.005 0.750 0.255
Cd 0.121 0.638 0.759
Cd 0.250 0.250 0.000
Cd 0.379 0.138 0.518
Cd 0.495 0.750 0.745
Cd 0.505 0.250 0.255
Cd 0.621 0.862 0.482
Cd 0.750 0.750 0.000
Cd 0.879 0.362 0.241
Cd 0.995 0.250 0.745
Sn 0.130 0.875 0.004
Sn 0.250 0.750 0.500
Sn 0.370 0.375 0.745
Sn 0.630 0.625 0.255
Sn 0.750 0.250 0.500
Sn 0.870 0.125 0.996


(6)
# ReHgAs

Crystalline ReHgAs at its relaxed geometry (PBE, Alexandria).

Calculated values
Its density of states at the Fermi level is 1.40 states/eV/cell. The value obtained for the energy is -16.0 eV per formula unit. The relative energy among the computed polymorphs is 130 meV per atom. The calculation puts the energy relative to the elements at 0.466 eV per atom.

a = 6.646 Å, b = 6.646 Å, c = 6.646 Å
α = 153.57°, β = 153.57°, γ = 37.73°
Element x y z (fractional)
Re 0.000 0.000 0.000
Hg 0.339 0.339 0.000
As 0.614 0.614 0.000


(7)
# MgCr2P2

Crystalline MgCr2P2 at its relaxed geometry (PBE, Alexandria).

Calculated values
Its density of states at the Fermi level is 5.91 states/eV/cell. The value obtained for the energy is -33.0 eV per formula unit. The calculation puts the energy relative to the elements at -0.264 eV per atom.

a = 6.685 Å, b = 6.685 Å, c = 2.900 Å
α = 90.00°, β = 90.00°, γ = 90.00°
Element x y z (fractional)
Mg 0.000 0.000 0.000
Mg 0.500 0.500 0.000
Cr 0.145 0.355 0.500
Cr 0.355 0.855 0.500
Cr 0.645 0.145 0.500
Cr 0.855 0.645 0.500
P 0.143 0.643 0.000
P 0.357 0.143 0.000
P 0.643 0.857 0.000
P 0.857 0.357 0.000


(8)
# Cs5Cd2Hg5

Crystalline Cs5Cd2Hg5 at its relaxed geometry (PBE, Alexandria).

Calculated values
Its density of states at the Fermi level is 8.24 states/eV/cell. The value obtained for the energy is -9.7 eV per formula unit. The calculation puts the energy relative to the elements at -0.175 eV per atom.

a = 10.061 Å, b = 10.061 Å, c = 14.719 Å
α = 126.24°, β = 126.24°, γ = 29.36°
Element x y z (fractional)
Cs 0.000 0.000 0.000
Cs 0.310 0.310 0.416
Cs 0.371 0.371 0.174
Cs 0.629 0.629 0.826
Cs 0.690 0.690 0.584
Cd 0.392 0.392 0.739
Cd 0.608 0.608 0.261
Hg 0.000 0.000 0.500
Hg 0.064 0.064 0.335
Hg 0.302 0.302 0.852
Hg 0.698 0.698 0.148
Hg 0.936 0.936 0.665


(9)
# HfZr4PaN8

Crystalline HfZr4PaN8 at its relaxed geometry (PBE, Alexandria).

Calculated values
As for the uncorrected formation energy: -1496 meV per atom. Its density of states at the Fermi level is 3.45 states/eV/cell. The value obtained for the energy is -141.2 eV per formula unit.

a = 6.541 Å, b = 6.541 Å, c = 6.541 Å
α = 60.10°, β = 60.10°, γ = 60.10°
Element x y z (fractional)
Hf 0.000 0.000 0.000
Zr 0.000 0.000 0.501
Zr 0.000 0.501 0.000
Zr 0.501 0.000 0.000
Zr 0.625 0.625 0.625
Pa 0.375 0.375 0.375
N 0.228 0.760 0.760
N 0.237 0.237 0.783
N 0.237 0.783 0.237
N 0.239 0.239 0.239
N 0.757 0.757 0.757
N 0.760 0.228 0.760
N 0.760 0.760 0.228
N 0.783 0.237 0.237


(10)
# Nd2TiSnPt6

Crystalline Nd2TiSnPt6 at its relaxed geometry (PBE, Alexandria).

Calculated values
Its density of states at the Fermi level is 6.49 states/eV/cell. The value obtained for the energy is -65.2 eV per formula unit. The calculation puts the energy relative to the elements at -0.755 eV per atom.

a = 5.708 Å, b = 5.715 Å, c = 8.884 Å
α = 71.34°, β = 71.68°, γ = 60.10°
Element x y z (fractional)
Nd 0.202 0.204 0.389
Nd 0.798 0.796 0.611
Ti 0.500 0.500 0.500
Sn 0.000 0.000 0.000
Pt 0.238 0.746 0.269
Pt 0.259 0.253 0.731
Pt 0.259 0.757 0.731
Pt 0.741 0.243 0.269
Pt 0.741 0.747 0.269
Pt 0.762 0.254 0.731


(11)
# PmPrHoGa

Crystalline PmPrHoGa at its relaxed geometry (PBE, Alexandria).

Calculated values
Its density of states at the Fermi level is 5.39 states/eV/cell. The value obtained for the energy is -17.3 eV per formula unit. The calculation puts the energy relative to the elements at -0.049 eV per atom.

a = 5.428 Å, b = 5.428 Å, c = 5.428 Å
α = 60.00°, β = 60.00°, γ = 60.00°
Element x y z (fractional)
Pm 0.000 0.000 0.000
Pr 0.250 0.250 0.250
Ho 0.750 0.750 0.750
Ga 0.500 0.500 0.500


(12)
# SrTaRu2

Crystalline SrTaRu2 at its relaxed geometry (PBE, Alexandria).

Calculated values
Its density of states at the Fermi level is 3.04 states/eV/cell. The value obtained for the energy is -30.5 eV per formula unit. The relative energy among the computed polymorphs is 405 meV per atom. The calculation puts the energy relative to the elements at 0.402 eV per atom.

a = 4.759 Å, b = 4.759 Å, c = 3.235 Å
α = 90.00°, β = 90.00°, γ = 90.00°
Element x y z (fractional)
Sr 0.000 0.000 0.000
Ta 0.500 0.500 0.000
Ru 0.000 0.500 0.500
Ru 0.500 0.000 0.500